La2SiN: relaxed, PBE.

Geometry as CIF:
```
data_La2SiN
_chemical_formula_sum 'La2 Si1 N1'
_space_group_name_H-M_alt 'P 1'
_space_group_IT_number 1
_cell_length_a 4.979
_cell_length_b 4.979
_cell_length_c 4.979
_cell_angle_alpha 60.00
_cell_angle_beta 60.00
_cell_angle_gamma 60.00
loop_
_space_group_symop_operation_xyz
'x,y,z'
loop_
_atom_site_label
_atom_site_fract_x
_atom_site_fract_y
_atom_site_fract_z
La1 0.750 0.750 0.750
La2 0.250 0.250 0.250
Si1 0.500 0.500 0.500
N1 0.000 0.000 0.000
```

Values from the calculation:
For the density, the calculation gives 6086 kg/m3. As for the formation energy without anion corrections: -0.1030 eV/atom. For the energy above the lowest structure with this stoichiometry, the calculation gives 711.2 meV per atom.


RbTl: relaxed, PBE.

Geometry as CIF:
```
data_RbTl
_chemical_formula_sum 'Rb2 Tl2'
_space_group_name_H-M_alt 'P 1'
_space_group_IT_number 1
_cell_length_a 5.459
_cell_length_b 5.459
_cell_length_c 8.535
_cell_angle_alpha 71.35
_cell_angle_beta 71.35
_cell_angle_gamma 60.00
loop_
_space_group_symop_operation_xyz
'x,y,z'
loop_
_atom_site_label
_atom_site_fract_x
_atom_site_fract_y
_atom_site_fract_z
Tl1 0.327 0.327 0.019
Tl2 0.673 0.673 0.981
Rb1 0.096 0.096 0.711
Rb2 0.904 0.904 0.289
```

Values from the calculation:
For the density, the calculation gives 4703 kg/m3. For the energy above the lowest structure with this stoichiometry, the calculation gives 0.0 meV per atom.


Which of these has the highest energy above the lowest structure with this stoichiometry?
La2SiN


Please write out number 2 again, unchanged.
RbTl: relaxed, PBE.

Geometry as CIF:
```
data_RbTl
_chemical_formula_sum 'Rb2 Tl2'
_space_group_name_H-M_alt 'P 1'
_space_group_IT_number 1
_cell_length_a 5.459
_cell_length_b 5.459
_cell_length_c 8.535
_cell_angle_alpha 71.35
_cell_angle_beta 71.35
_cell_angle_gamma 60.00
loop_
_space_group_symop_operation_xyz
'x,y,z'
loop_
_atom_site_label
_atom_site_fract_x
_atom_site_fract_y
_atom_site_fract_z
Tl1 0.327 0.327 0.019
Tl2 0.673 0.673 0.981
Rb1 0.096 0.096 0.711
Rb2 0.904 0.904 0.289
```

Values from the calculation:
For the density, the calculation gives 4703 kg/m3. For the energy above the lowest structure with this stoichiometry, the calculation gives 0.0 meV per atom.


Repeat the second record exactly.
RbTl: relaxed, PBE.

Geometry as CIF:
```
data_RbTl
_chemical_formula_sum 'Rb2 Tl2'
_space_group_name_H-M_alt 'P 1'
_space_group_IT_number 1
_cell_length_a 5.459
_cell_length_b 5.459
_cell_length_c 8.535
_cell_angle_alpha 71.35
_cell_angle_beta 71.35
_cell_angle_gamma 60.00
loop_
_space_group_symop_operation_xyz
'x,y,z'
loop_
_atom_site_label
_atom_site_fract_x
_atom_site_fract_y
_atom_site_fract_z
Tl1 0.327 0.327 0.019
Tl2 0.673 0.673 0.981
Rb1 0.096 0.096 0.711
Rb2 0.904 0.904 0.289
```

Values from the calculation:
For the density, the calculation gives 4703 kg/m3. For the energy above the lowest structure with this stoichiometry, the calculation gives 0.0 meV per atom.


Which of these has the lowest energy above the lowest structure with this stoichiometry?
RbTl